Entry 1:
Material: BaFeNi2
Method: DFT, GGA-PBE
State: relaxed

The structure in CIF format:
```
data_BaFeNi2
_chemical_formula_sum 'Ba4 Fe4 Ni8'
_symmetry_space_group_name_H-M 'F -4 3 m'
_symmetry_Int_Tables_number 216
_symmetry_space_group_name_Hall 'F -4 2 3'
_cell_length_a 6.5789
_cell_length_b 6.5789
_cell_length_c 6.5789
_cell_angle_alpha 90.00
_cell_angle_beta 90.00
_cell_angle_gamma 90.00
loop_
_atom_site_label
_atom_site_fract_x
_atom_site_fract_y
_atom_site_fract_z
Ba1 0.0000 0.0000 0.0000
Fe1 0.2500 0.2500 0.7500
Ni1 0.0000 0.0000 0.5000
Ni2 0.2500 0.2500 0.2500
```


Entry 2:
Material: BaFeNi2
Method: DFT, GGA-PBE
State: relaxed

The structure in CIF format:
```
data_BaFeNi2
_chemical_formula_sum 'Ba4 Fe4 Ni8'
_symmetry_space_group_name_H-M 'F m -3 m'
_symmetry_Int_Tables_number 225
_symmetry_space_group_name_Hall '-F 4 2 3'
_cell_length_a 6.7044
_cell_length_b 6.7044
_cell_length_c 6.7044
_cell_angle_alpha 90.00
_cell_angle_beta 90.00
_cell_angle_gamma 90.00
loop_
_atom_site_label
_atom_site_fract_x
_atom_site_fract_y
_atom_site_fract_z
Ba1 0.0000 0.0000 0.0000
Fe1 0.0000 0.0000 0.5000
Ni1 0.2500 0.2500 0.2500
```


Number 1: uncorrected energy -74.01 eV per cell, energy above the lowest structure with this stoichiometry 3.10 eV/f.u., calculated formation energy 83.1 kJ/mol of atoms. Number 2: uncorrected energy -74.95 eV per cell, energy above the lowest structure with this stoichiometry 2.87 eV/f.u., calculated formation energy 77.4 kJ/mol of atoms.